(1)
{
  "formula": "Pm3Pr7Ho",
  "functional": "PBE",
  "state": "relaxed",
  "cell": [[-4.296, 1.849, -3.791], [-2.906, 0.224, 8.172], [4.775, 6.743, 2.648]],
  "species": ["Pm", "Pm", "Pm", "Pr", "Pr", "Pr", "Pr", "Pr", "Pr", "Pr", "Ho"],
  "frac_coords": [[0.000, 0.793, 0.207], [0.500, 0.000, 0.000], [0.000, 0.207, 0.793], [0.211, 0.210, 0.210], [0.305, 0.012, 0.598], [0.695, 0.402, 0.988], [0.305, 0.598, 0.012], [0.000, 0.500, 0.500], [0.695, 0.988, 0.402], [0.789, 0.790, 0.790], [0.500, 0.500, 0.500]],
  "ef_ev_per_atom": 0.221
}

(2)
{
  "formula": "Pm4Pr8Ho3",
  "functional": "PBE",
  "state": "relaxed",
  "cell": [[-1.970, -6.520, 2.027], [1.921, -5.652, -3.855], [10.113, -5.082, 5.940]],
  "species": ["Pm", "Pm", "Pm", "Pm", "Pr", "Pr", "Pr", "Pr", "Pr", "Pr", "Pr", "Pr", "Ho", "Ho", "Ho"],
  "frac_coords": [[0.000, 0.000, 0.000], [0.336, 0.336, 0.992], [0.500, 0.500, 0.500], [0.664, 0.664, 0.008], [0.246, 0.246, 0.263], [0.247, 0.750, 0.254], [0.750, 0.750, 0.254], [0.750, 0.247, 0.254], [0.754, 0.754, 0.737], [0.753, 0.250, 0.746], [0.250, 0.250, 0.746], [0.250, 0.753, 0.746], [0.500, 0.000, 0.500], [0.000, 0.000, 0.500], [0.000, 0.500, 0.500]],
  "ef_ev_per_atom": 0.127
}

no.,magnetic moment (μB per formula unit)
1,0.00
2,0.00